[1]
DFT (PBE) results for a relaxed structure of NaHoCdTe3.

Energy above the lowest structure with this stoichiometry ... 0.098 kcal/mol of atoms
Mass density ... 5.984 g cm⁻³

Cell: 4.366 14.901 11.655 Å, 90.00 90.00 90.00°
Space group Cmcm (No. 63)
Symmetry-distinct sites (fractional):
Na (0.000, 0.232, 0.250) [4 per cell]
Ho (0.000, 0.000, 0.000) [4 per cell]
Cd (0.000, 0.470, 0.750) [4 per cell]
Te (0.000, 0.092, 0.750) [4 per cell]
Te (0.000, 0.359, 0.555) [8 per cell]



[2]
DFT (PBE) results for a relaxed structure of TlPd3Se5.

Raw total energy ... -4.100 eV/atom
Mass density ... 7.118 g cm⁻³

Cell: 5.9826 5.9826 6.9125 Å, 90.00 90.00 120.00°
Space group P6/mmm (No. 191)
Symmetry-distinct sites (fractional):
Tl (0.0000, 0.0000, 0.0000) [1 per cell]
Pd (0.0000, 0.5000, 0.5000) [3 per cell]
Se (0.0000, 0.0000, 0.5000) [1 per cell]
Se (0.3333, 0.6667, 0.2388) [4 per cell]



[3]
DFT (PBE) results for a relaxed structure of YHoMg4.

Raw total energy ... -2.940 eV/atom
Mass density ... 3.748 g cm⁻³

Cell: 3.300 5.218 9.034 Å, 90.00 90.00 90.00°
Space group P2/m (No. 10)
Symmetry-distinct sites (fractional):
Y (0.000, 0.000, 0.000) [1 per cell]
Ho (0.000, 0.500, 0.500) [1 per cell]
Mg (0.496, 0.000, 0.666) [2 per cell]
Mg (0.496, 0.500, 0.167) [2 per cell]



- The highest mass density belongs to which entry?
  TlPd3Se5